No. 1
# PBE with a Hubbard U KMn2As2O6, optimized geometry
data_KMn2As2O6
_cell_length_a 5.585
_cell_length_b 5.683
_cell_length_c 7.428
_cell_angle_alpha 77.73
_cell_angle_beta 82.10
_cell_angle_gamma 65.36
_space_group_name_H-M_alt 'P -1'
_space_group_IT_number 2
_space_group_name_Hall '-P 1'
loop_
_atom_site_label
_atom_site_type_symbol
_atom_site_fract_x
_atom_site_fract_y
_atom_site_fract_z
K1 K 0.000 0.000 0.000
Mn1 Mn 0.278 0.768 0.558
As1 As 0.250 0.355 0.253
O1 O 0.113 0.113 0.349
O2 O 0.315 0.447 0.457
O3 O 0.411 0.852 0.770
# Total DFT energy (no corrections) ... -6.490 eV/atom


No. 2
# PBE with a Hubbard U KMnAsO6, optimized geometry
data_KMnAsO6
_cell_length_a 4.9752
_cell_length_b 4.9752
_cell_length_c 6.1555
_cell_angle_alpha 90.00
_cell_angle_beta 90.00
_cell_angle_gamma 120.00
_space_group_name_H-M_alt 'P 3 1 2'
_space_group_IT_number 149
_space_group_name_Hall 'P 3 2'
loop_
_atom_site_label
_atom_site_type_symbol
_atom_site_fract_x
_atom_site_fract_y
_atom_site_fract_z
K1 K 0.0000 0.0000 0.0000
Mn1 Mn 0.3333 0.6667 0.5000
As1 As 0.6667 0.3333 0.5000
O1 O 0.3789 0.0088 0.6697
# Total DFT energy (no corrections) ... -5.847 eV/atom
# Fermi-level density of states ... 5.5 states/eV/f.u.


In order of appearance, spin magnetization = 9.000; 1.000 μB per formula unit.
In order of appearance, volume = 19.009; 14.662 A^3/atom.